First-principles (PBE-GGA) data for an optimized crystal structure of ScI2NO, as listed in Alexandria. Values from VASP.

Density = 3.8 g/cm3
Total magnetic moment = 2.552 μB per formula unit
Formation energy without anion corrections = -0.107 eV per atom
Energy above the most stable polymorph in this dataset = 0 meV/atom

Quantum ESPRESSO input file:
```
&SYSTEM
  ibrav = 0, nat = 5, ntyp = 4
/
ATOMIC_SPECIES
Sc 44.96 Sc.upf
I 126.90 I.upf
N 14.01 N.upf
O 16.00 O.upf
CELL_PARAMETERS angstrom
6.171 0.000 0.000
0.000 6.171 0.000
0.000 0.000 3.804
ATOMIC_POSITIONS crystal
Sc 0.000 0.000 0.000
I 0.000 0.500 0.000
I 0.500 0.000 0.000
N 0.500 0.500 0.500
O 0.000 0.000 0.500
```